## Nd2Cu4S5 (PBE)

Data for crystalline Nd2Cu4S5 at its relaxed geometry.

POSCAR file:
```
Nd2Cu4S5
1.0
1.9426 1.1216 16.2171
-1.9426 1.1216 16.2171
0.0000 -2.2431 16.2171
Nd Cu S
2 4 5
Direct
0.1306 0.1306 0.1306
0.8694 0.8694 0.8694
0.3121 0.3121 0.3121
0.4121 0.4121 0.4121
0.5879 0.5879 0.5879
0.6879 0.6879 0.6879
0.2390 0.2390 0.2390
0.3649 0.3649 0.3649
0.5000 0.5000 0.5000
0.6351 0.6351 0.6351
0.7610 0.7610 0.7610
```

The calculation puts the density of states at the Fermi level at 0.426 states/eV/atom. The calculation puts the formation energy from raw total energies at -0.895 eV/atom.